Below is a relaxed structure of HfV2PbO8, with properties calculated at the GGA+U level.

Unit cell a=5.7050 b=5.7050 c=6.9448 alpha=90.00 beta=90.00 gamma=120.00
Space group P-3m1 (No. 164)
Asymmetric unit:
Hf (0.0000, 0.0000, 0.0000) [1 per cell]
V (0.3333, 0.6667, 0.2666) [2 per cell]
Pb (0.0000, 0.0000, 0.5000) [1 per cell]
O (0.1629, 0.3257, 0.1878) [6 per cell]
O (0.3333, 0.6667, 0.5058) [2 per cell]

Electronic total energy, hartree per atom: -0.290